TeMoW2F: optimized geometry, GGA+U.

Values from the calculation:
The value obtained for the energy is -4.28 eV/atom. The calculation puts the total moment at 7.08 μB per formula unit. As for the space-group type: No. 123.

Unit cell a=4.2936 b=5.5173 c=4.2936 alpha=90.00 beta=90.00 gamma=90.00
Element x y z (fractional)
W1 0.5000 0.0000 0.0000
W2 0.0000 0.0000 0.5000
Mo1 0.5000 0.5000 0.5000
F1 0.0000 0.0000 0.0000
Te1 0.0000 0.5000 0.0000